1.
Compound: LaCeTm2S4
Source: Alexandria
Functional: PBE-GGA
Structure: optimized geometry

Values from the calculation:
As for the space group: P2/m (10). The density of states at the Fermi level comes out at 7.712 states/eV/cell. As for the uncorrected formation energy: -2028 meV/atom. Its calculated total energy is -52.54 eV for the cell shown.

a b c (Å): 6.810 3.915 7.000
angles (deg): 90.00 108.80 90.00
Element x y z (fractional)
La (0.000, 0.000, 0.000)
Ce (0.500, 0.500, 0.000)
Tm (0.000, 0.500, 0.500)
Tm (0.500, 0.000, 0.500)
S (0.246, 0.000, 0.729)
S (0.261, 0.500, 0.274)
S (0.739, 0.500, 0.726)
S (0.754, 0.000, 0.271)

***

2.
Compound: AgTe2I8
Source: Alexandria
Functional: PBE-GGA
Structure: optimized geometry

Values from the calculation:
As for the space group: C2/m (12). The density of states at the Fermi level comes out at 3.887 states/eV/cell. As for the uncorrected formation energy: 9 meV/atom. Its calculated total energy is -21.44 eV for the cell shown.

a b c (Å): 8.910 8.910 7.896
angles (deg): 96.34 96.34 69.15
Element x y z (fractional)
Ag (0.000, 0.000, 0.000)
Te (0.216, 0.216, 0.672)
Te (0.784, 0.784, 0.328)
I (0.102, 0.698, 0.160)
I (0.181, 0.181, 0.313)
I (0.302, 0.898, 0.840)
I (0.407, 0.407, 0.765)
I (0.593, 0.593, 0.235)
I (0.698, 0.102, 0.160)
I (0.819, 0.819, 0.687)
I (0.898, 0.302, 0.840)